1.
Entry from Alexandria: RbSrAl2Ga after structural relaxation (PBE).

Lattice parameters (Å, degrees): 5.2057 5.2057 5.9581 90.00 90.00 90.00
Element x y z (fractional)
Rb: 0.0000 0.0000 0.0000
Sr: 0.5000 0.5000 0.0000
Al: 0.0000 0.5000 0.5000
Al: 0.5000 0.0000 0.5000
Ga: 0.0000 0.0000 0.5000

Output
Calculated volume = 32.29 Å³/atom
ΔH_f (0 K) = 0.375 eV per atom
Total magnetization = 0.00 μB per formula unit
Space-group type = P4/mmm (123)

2.
Entry from Alexandria: SbAu2F after structural relaxation (PBE).

Lattice parameters (Å, degrees): 6.0710 6.0710 6.0710 101.10 101.10 127.94
Element x y z (fractional)
Sb: 0.0000 0.0000 0.0000
Sb: 0.7500 0.2500 0.5000
Au: 0.1242 0.6250 0.9992
Au: 0.3750 0.3742 0.4992
Au: 0.6258 0.1250 0.0008
Au: 0.8750 0.8758 0.5008
F: 0.2500 0.7500 0.5000
F: 0.5000 0.5000 0.0000

Output
Calculated volume = 19.82 Å³/atom
Raw formation energy = -0.394 eV/atom
Offset from the most stable computed form = 0.000 eV/atom
Total magnetization = 0.00 μB per formula unit
Space-group type = I-42d (122)

3.
Entry from Alexandria: PIrF after structural relaxation (PBE).

Lattice parameters (Å, degrees): 3.4649 3.5146 5.6587 106.68 90.92 119.45
Element x y z (fractional)
P: 0.0000 0.0000 0.0000
Ir: 0.7264 0.4442 0.1665
F: 0.8962 0.8073 0.6920

Output
Calculated volume = 18.82 Å³/atom
Raw formation energy = -0.967 eV/atom
Offset from the most stable computed form = 0.034 eV/atom
Total magnetization = 0.00 μB per formula unit
Space-group type = P1 (1)

4.
Entry from Alexandria: MnSbTe2 after structural relaxation (PBE).

Lattice parameters (Å, degrees): 3.5812 3.5812 7.6132 90.00 90.00 90.00
Element x y z (fractional)
Mn: 0.0000 0.0000 0.0000
Sb: 0.0000 0.0000 0.5000
Te: 0.5000 0.5000 0.2095
Te: 0.5000 0.5000 0.7905

Output
Calculated volume = 24.41 Å³/atom
Raw formation energy = 0.211 eV/atom
Total magnetization = 3.70 μB per formula unit
Space-group type = P4/mmm (123)

5.
Entry from Alexandria: In3Ga12Sb5 after structural relaxation (PBE).

Lattice parameters (Å, degrees): 14.1515 14.1515 14.1515 109.47 109.47 109.47
Element x y z (fractional)
In: 0.1250 0.2500 0.3750
In: 0.1250 0.3750 0.7500
In: 0.2500 0.3750 0.1250
In: 0.2500 0.8750 0.6250
In: 0.3750 0.1250 0.2500
In: 0.3750 0.7500 0.1250
In: 0.6250 0.2500 0.8750
In: 0.6250 0.8750 0.7500
In: 0.7500 0.1250 0.3750
In: 0.7500 0.6250 0.8750
In: 0.8750 0.6250 0.2500
In: 0.8750 0.7500 0.6250
Ga: 0.0680 0.2358 0.1422
Ga: 0.0680 0.3322 0.9259
Ga: 0.0741 0.6422 0.4063
Ga: 0.0741 0.9320 0.6678
Ga: 0.0937 0.7358 0.6678
Ga: 0.0937 0.8578 0.4259
Ga: 0.1422 0.0680 0.2358
Ga: 0.1422 0.5741 0.9063
Ga: 0.1678 0.2358 0.5937
Ga: 0.1678 0.4320 0.5741
Ga: 0.2358 0.1422 0.0680
Ga: 0.2358 0.5937 0.1678
Ga: 0.2642 0.3322 0.9063
Ga: 0.2642 0.4320 0.3578
Ga: 0.3322 0.9063 0.2642
Ga: 0.3322 0.9259 0.0680
Ga: 0.3578 0.2642 0.4320
Ga: 0.3578 0.5937 0.9259
Ga: 0.4063 0.0741 0.6422
Ga: 0.4063 0.8322 0.7642
Ga: 0.4259 0.0937 0.8578
Ga: 0.4259 0.8322 0.5680
Ga: 0.4320 0.3578 0.2642
Ga: 0.4320 0.5741 0.1678
Ga: 0.5680 0.4259 0.8322
Ga: 0.5680 0.6422 0.7358
Ga: 0.5741 0.1678 0.4320
Ga: 0.5741 0.9063 0.1422
Ga: 0.5937 0.1678 0.2358
Ga: 0.5937 0.9259 0.3578
Ga: 0.6422 0.4063 0.0741
Ga: 0.6422 0.7358 0.5680
Ga: 0.6678 0.0741 0.9320
Ga: 0.6678 0.0937 0.7358
Ga: 0.7358 0.5680 0.6422
Ga: 0.7358 0.6678 0.0937
Ga: 0.7642 0.4063 0.8322
Ga: 0.7642 0.8578 0.9320
Ga: 0.8322 0.5680 0.4259
Ga: 0.8322 0.7642 0.4063
Ga: 0.8578 0.4259 0.0937
Ga: 0.8578 0.9320 0.7642
Ga: 0.9063 0.1422 0.5741
Ga: 0.9063 0.2642 0.3322
Ga: 0.9259 0.0680 0.3322
Ga: 0.9259 0.3578 0.5937
Ga: 0.9320 0.6678 0.0741
Ga: 0.9320 0.7642 0.8578
Sb: 0.0000 0.0000 0.0000
Sb: 0.0000 0.0000 0.5000
Sb: 0.0000 0.5000 0.0000
Sb: 0.0000 0.5000 0.5000
Sb: 0.1250 0.7500 0.8750
Sb: 0.1250 0.8750 0.2500
Sb: 0.2500 0.1250 0.8750
Sb: 0.2500 0.6250 0.3750
Sb: 0.3750 0.2500 0.6250
Sb: 0.3750 0.6250 0.7500
Sb: 0.5000 0.0000 0.0000
Sb: 0.5000 0.0000 0.5000
Sb: 0.5000 0.5000 0.0000
Sb: 0.5000 0.5000 0.5000
Sb: 0.6250 0.3750 0.2500
Sb: 0.6250 0.7500 0.3750
Sb: 0.7500 0.3750 0.6250
Sb: 0.7500 0.8750 0.1250
Sb: 0.8750 0.1250 0.7500
Sb: 0.8750 0.2500 0.1250

Output
Calculated volume = 27.27 Å³/atom
Raw formation energy = 0.111 eV/atom
Total magnetization = 0.00 μB per formula unit
Space-group type = Ia-3d (230)

6.
Entry from Alexandria: GdTmGeRh after structural relaxation (PBE).

Lattice parameters (Å, degrees): 4.9433 4.9433 4.9433 60.00 60.00 60.00
Element x y z (fractional)
Gd: 0.0000 0.0000 0.0000
Tm: 0.5000 0.5000 0.5000
Ge: 0.2500 0.2500 0.2500
Rh: 0.7500 0.7500 0.7500

Output
Calculated volume = 21.35 Å³/atom
ΔH_f (0 K) = -0.731 eV per atom
Total magnetization = 7.00 μB per formula unit
Space-group type = F-43m (216)

7.
Entry from Alexandria: BPH2 after structural relaxation (PBE).

Lattice parameters (Å, degrees): 6.4648 6.4648 6.4648 153.54 153.54 37.77
Element x y z (fractional)
B: 0.0000 0.0000 0.0000
B: 0.7500 0.2500 0.5000
P: 0.2500 0.7500 0.5000
P: 0.5000 0.5000 0.0000
H: 0.0842 0.6250 0.9592
H: 0.3750 0.3342 0.4592
H: 0.6658 0.1250 0.0408
H: 0.8750 0.9158 0.5408

Output
Calculated volume = 6.70 Å³/atom
Offset from the most stable computed form = 0.530 eV/atom
Total magnetization = 0.00 μB per formula unit
Space-group type = I-42d (122)

8.
Entry from Alexandria: GaAs2Pd8 after structural relaxation (PBE).

Lattice parameters (Å, degrees): 6.6479 6.6479 4.4930 99.22 99.22 112.36
Element x y z (fractional)
Ga: 0.0000 0.0000 0.0000
As: 0.3215 0.6785 0.5000
As: 0.6785 0.3215 0.5000
Pd: 0.0712 0.3211 0.5968
Pd: 0.2308 0.7692 0.0000
Pd: 0.3211 0.0712 0.5968
Pd: 0.3671 0.3671 0.1695
Pd: 0.6329 0.6329 0.8305
Pd: 0.6789 0.9288 0.4032
Pd: 0.7692 0.2308 0.0000
Pd: 0.9288 0.6789 0.4032

Output
Calculated volume = 15.99 Å³/atom
ΔH_f (0 K) = -0.381 eV per atom
Offset from the most stable computed form = 0.014 eV/atom
Total magnetization = 0.00 μB per formula unit
Space-group type = C2/m (12)

9.
Entry from Alexandria: NdDy3Te after structural relaxation (PBE).

Lattice parameters (Å, degrees): 8.5355 8.8114 9.9492 90.00 124.37 90.00
Element x y z (fractional)
Nd: 0.1603 0.0733 0.4236
Nd: 0.1603 0.4267 0.9236
Nd: 0.8397 0.5733 0.0764
Nd: 0.8397 0.9267 0.5764
Dy: 0.1051 0.6761 0.5118
Dy: 0.1051 0.8239 0.0118
Dy: 0.2808 0.0605 0.8367
Dy: 0.2808 0.4395 0.3367
Dy: 0.4219 0.1142 0.2411
Dy: 0.4219 0.3858 0.7411
Dy: 0.5781 0.6142 0.2589
Dy: 0.5781 0.8858 0.7589
Dy: 0.7192 0.5605 0.6633
Dy: 0.7192 0.9395 0.1633
Dy: 0.8949 0.1761 0.9882
Dy: 0.8949 0.3239 0.4882
Te: 0.3805 0.7086 0.8941
Te: 0.3805 0.7914 0.3941
Te: 0.6195 0.2086 0.6059
Te: 0.6195 0.2914 0.1059

Output
Calculated volume = 30.88 Å³/atom
Raw formation energy = -0.381 eV/atom
Total magnetization = 0.00 μB per formula unit
Space-group type = P2_1/c (14)

10.
Entry from Alexandria: BaPt2Au6 after structural relaxation (PBE).

Lattice parameters (Å, degrees): 5.5049 5.5049 8.6610 90.00 90.00 120.00
Element x y z (fractional)
Ba: 0.0000 0.0000 0.0000
Pt: 0.3333 0.6667 0.5000
Pt: 0.6667 0.3333 0.5000
Au: 0.0000 0.5000 0.2379
Au: 0.0000 0.5000 0.7621
Au: 0.5000 0.0000 0.2379
Au: 0.5000 0.0000 0.7621
Au: 0.5000 0.5000 0.2379
Au: 0.5000 0.5000 0.7621

Output
Calculated volume = 25.26 Å³/atom
ΔH_f (0 K) = 0.012 eV per atom
Total magnetization = 0.00 μB per formula unit
Space-group type = P6/mmm (191)

11.
Entry from Alexandria: MgNb3Pb after structural relaxation (PBE).

Lattice parameters (Å, degrees): 4.8042 4.8042 4.8042 90.00 90.00 90.00
Element x y z (fractional)
Mg: 0.0000 0.0000 0.0000
Nb: 0.0000 0.0000 0.5000
Nb: 0.0000 0.5000 0.0000
Nb: 0.5000 0.0000 0.0000
Pb: 0.5000 0.5000 0.5000

Output
Calculated volume = 22.18 Å³/atom
ΔH_f (0 K) = 1.449 eV per atom
Offset from the most stable computed form = 0.000 eV/atom
Total magnetization = 0.00 μB per formula unit
Space-group type = Pm-3m (221)

12.
Entry from Alexandria: NbHRhW2 after structural relaxation (PBE).

Lattice parameters (Å, degrees): 4.0346 4.0346 4.1012 90.00 90.00 90.00
Element x y z (fractional)
Nb: 0.0000 0.0000 0.0000
H: 0.5000 0.5000 0.5000
Rh: 0.5000 0.5000 0.0000
W: 0.0000 0.5000 0.5000
W: 0.5000 0.0000 0.5000

Output
Calculated volume = 13.35 Å³/atom
Offset from the most stable computed form = 0.009 eV/atom
Total magnetization = 0.00 μB per formula unit
Space-group type = P4/mmm (123)

13.
Entry from Alexandria: Ce4PmGa4 after structural relaxation (PBE).

Lattice parameters (Å, degrees): 6.7489 6.7489 10.1215 90.00 90.00 90.00
Element x y z (fractional)
Ce: 0.0060 0.2500 0.1833
Ce: 0.2500 0.0060 0.6833
Ce: 0.2500 0.4940 0.6833
Ce: 0.4940 0.2500 0.1833
Ce: 0.5060 0.7500 0.8167
Ce: 0.7500 0.5060 0.3167
Ce: 0.7500 0.9940 0.3167
Ce: 0.9940 0.7500 0.8167
Pm: 0.2500 0.7500 0.2500
Pm: 0.7500 0.2500 0.7500
Ga: 0.0325 0.2500 0.4823
Ga: 0.2500 0.0325 0.9823
Ga: 0.2500 0.4675 0.9823
Ga: 0.4675 0.2500 0.4823
Ga: 0.5325 0.7500 0.5177
Ga: 0.7500 0.5325 0.0177
Ga: 0.7500 0.9675 0.0177
Ga: 0.9675 0.7500 0.5177

Output
Calculated volume = 25.61 Å³/atom
ΔH_f (0 K) = -0.243 eV per atom
Total magnetization = 0.74 μB per formula unit
Space-group type = P4_2/nmc (137)

14.
Entry from Alexandria: Ce4Cd5Ag2 after structural relaxation (PBE).

Lattice parameters (Å, degrees): 7.8299 3.1484 10.6534 90.00 92.61 90.00
Element x y z (fractional)
Ce: 0.1173 0.0000 0.4071
Ce: 0.3191 0.0000 0.9614
Ce: 0.6809 0.0000 0.0386
Ce: 0.8827 0.0000 0.5929
Cd: 0.2319 0.5000 0.6837
Cd: 0.4025 0.5000 0.2279
Cd: 0.5000 0.5000 0.5000
Cd: 0.5975 0.5000 0.7721
Cd: 0.7681 0.5000 0.3163
Ag: 0.0392 0.5000 0.1337
Ag: 0.9608 0.5000 0.8663

Output
Calculated volume = 23.85 Å³/atom
ΔH_f (0 K) = -0.152 eV per atom
Total magnetization = 3.00 μB per formula unit
Space-group type = P2/m (10)

15.
Entry from Alexandria: Cs3ZnH4 after structural relaxation (PBE).

Lattice parameters (Å, degrees): 8.7749 7.5196 6.9197 90.00 90.00 90.00
Element x y z (fractional)
Cs: 0.0000 0.0487 0.0000
Cs: 0.2226 0.3776 0.5117
Cs: 0.2774 0.6224 0.0117
Cs: 0.5000 0.9513 0.5000
Cs: 0.7226 0.6224 0.0117
Cs: 0.7774 0.3776 0.5117
Zn: 0.0000 0.8376 0.5139
Zn: 0.5000 0.1624 0.0139
H: 0.0000 0.0541 0.4519
H: 0.0000 0.7053 0.3152
H: 0.1578 0.7960 0.6441
H: 0.3422 0.2040 0.1441
H: 0.5000 0.2947 0.8152
H: 0.5000 0.9459 0.9519
H: 0.6578 0.2040 0.1441
H: 0.8422 0.7960 0.6441

Output
Calculated volume = 28.54 Å³/atom
Total magnetization = 0.94 μB per formula unit
Final energy = -2.26 eV per atom
Space-group type = Pmn2_1 (31)

16.
Entry from Alexandria: YPu5 after structural relaxation (PBE).

Lattice parameters (Å, degrees): 6.0950 6.0950 5.5477 90.00 90.00 125.29
Element x y z (fractional)
Y: 0.0000 0.0000 0.0000
Pu: 0.1756 0.8244 0.5000
Pu: 0.3294 0.6706 0.0000
Pu: 0.5000 0.5000 0.5000
Pu: 0.6706 0.3294 0.0000
Pu: 0.8244 0.1756 0.5000

Output
Calculated volume = 28.04 Å³/atom
ΔH_f (0 K) = 0.323 eV per atom
Total magnetization = 30.03 μB per formula unit
Space-group type = Cmmm (65)

17.
Entry from Alexandria: Mg3FeCo after structural relaxation (PBE).

Lattice parameters (Å, degrees): 4.6889 4.6889 4.6889 90.00 90.00 90.00
Element x y z (fractional)
Mg: 0.0000 0.0000 0.5000
Mg: 0.0000 0.5000 0.0000
Mg: 0.5000 0.0000 0.0000
Fe: 0.5000 0.5000 0.5000
Co: 0.0000 0.0000 0.0000

Output
Calculated volume = 20.62 Å³/atom
ΔH_f (0 K) = 0.771 eV per atom
Offset from the most stable computed form = 0.000 eV/atom
Total magnetization = 3.36 μB per formula unit
Space-group type = Pm-3m (221)

18.
Entry from Alexandria: SrHgSbTe2 after structural relaxation (PBE).

Lattice parameters (Å, degrees): 5.7884 5.7884 5.4641 90.00 90.00 90.00
Element x y z (fractional)
Sr: 0.0000 0.0000 0.0000
Hg: 0.5000 0.5000 0.5000
Sb: 0.5000 0.5000 0.0000
Te: 0.0000 0.5000 0.5000
Te: 0.5000 0.0000 0.5000

Output
Calculated volume = 36.62 Å³/atom
Raw formation energy = -0.099 eV/atom
Offset from the most stable computed form = 0.000 eV/atom
Total magnetization = 0.00 μB per formula unit
Space-group type = P4/mmm (123)

19.
Entry from Alexandria: LiAgMo2 after structural relaxation (PBE).

Lattice parameters (Å, degrees): 4.0898 3.1481 4.8435 90.00 90.69 90.00
Element x y z (fractional)
Li: 0.0000 0.0000 0.0000
Ag: 0.5000 0.5000 0.0000
Mo: 0.0000 0.5000 0.5000
Mo: 0.5000 0.0000 0.5000

Output
Calculated volume = 15.59 Å³/atom
ΔH_f (0 K) = 0.333 eV per atom
Offset from the most stable computed form = 0.135 eV/atom
Total magnetization = 0.00 μB per formula unit
Space-group type = P2/m (10)

20.
Entry from Alexandria: HfInP after structural relaxation (PBE).

Lattice parameters (Å, degrees): 3.8776 3.8776 8.0674 90.00 90.00 90.00
Element x y z (fractional)
Hf: 0.2500 0.2500 0.1664
Hf: 0.7500 0.7500 0.8336
In: 0.2500 0.7500 0.5000
In: 0.7500 0.2500 0.5000
P: 0.2500 0.2500 0.8476
P: 0.7500 0.7500 0.1524

Output
Calculated volume = 20.22 Å³/atom
ΔH_f (0 K) = -0.443 eV per atom
Total magnetization = 0.00 μB per formula unit
Space-group type = P4/nmm (129)